Here is a relaxed MgPPd2 crystal from the Alexandria database. Energies are from PBE-GGA.

The structure in POSCAR format:
```
MgPPd2
1.0
4.013 0.000 0.000
0.000 4.013 0.000
0.000 0.000 16.693
Mg P Pd
4 4 8
direct
0.000 0.000 0.000
0.000 0.500 0.250
0.500 0.000 0.750
0.500 0.500 0.500
0.000 0.000 0.500
0.000 0.500 0.750
0.500 0.000 0.250
0.500 0.500 0.000
0.219 0.250 0.625
0.250 0.719 0.875
0.250 0.781 0.375
0.281 0.250 0.125
0.719 0.750 0.125
0.750 0.219 0.375
0.750 0.281 0.875
0.781 0.750 0.625
```

N(E_F)	1.82	states/eV/f.u.
M_tot	0.00	μB per cell
V	268.8	Å³ per cell
electronic total energy	-74.98	eV/cell
SG	I-42d (122)